(1)
# Er7Ga2Bi2 (PBE, optimized geometry)
data_Er7Ga2Bi2
_chemical_formula_sum 'Er7 Ga2 Bi2'
_cell_length_a 7.048
_cell_length_b 6.879
_cell_length_c 7.048
_cell_angle_alpha 90.00
_cell_angle_beta 98.61
_cell_angle_gamma 90.00
_space_group_name_H-M_alt 'P 1'
_space_group_IT_number 1
loop_
_space_group_symop_operation_xyz
'x,y,z'
loop_
_atom_site_label
_atom_site_fract_x
_atom_site_fract_y
_atom_site_fract_z
Er1 0.000 0.248 0.500
Er2 0.500 0.752 0.000
Er3 0.000 0.752 0.500
Er4 0.500 0.248 0.000
Er5 0.000 0.000 0.000
Er6 0.500 0.758 0.500
Er7 0.500 0.242 0.500
Ga1 0.727 0.000 0.273
Ga2 0.273 0.000 0.727
Bi1 0.801 0.500 0.801
Bi2 0.199 0.500 0.199
# DFT formation energy, eV per formula unit: -2.78

---

(2)
# ErGaBi (PBE, optimized geometry)
data_ErGaBi
_chemical_formula_sum 'Er1 Ga1 Bi1'
_cell_length_a 3.700
_cell_length_b 3.700
_cell_length_c 6.185
_cell_angle_alpha 107.40
_cell_angle_beta 107.40
_cell_angle_gamma 90.00
_space_group_name_H-M_alt 'P 1'
_space_group_IT_number 1
loop_
_space_group_symop_operation_xyz
'x,y,z'
loop_
_atom_site_label
_atom_site_fract_x
_atom_site_fract_y
_atom_site_fract_z
Bi1 0.957 0.957 0.914
Ga1 0.627 0.627 0.253
Er1 0.266 0.266 0.533
# DFT formation energy, eV per formula unit: -0.90
# Relative energy among the computed polymorphs, eV/atom: 0.000

---

(3)
# Er6Ga2Bi (PBE, optimized geometry)
data_Er6Ga2Bi
_chemical_formula_sum 'Er12 Ga4 Bi2'
_cell_length_a 8.606
_cell_length_b 8.606
_cell_length_c 8.606
_cell_angle_alpha 103.43
_cell_angle_beta 113.00
_cell_angle_gamma 112.15
_space_group_name_H-M_alt 'P 1'
_space_group_IT_number 1
loop_
_space_group_symop_operation_xyz
'x,y,z'
loop_
_atom_site_label
_atom_site_fract_x
_atom_site_fract_y
_atom_site_fract_z
Er1 0.535 0.721 0.814
Er2 0.465 0.279 0.186
Er3 0.094 0.279 0.814
Er4 0.906 0.721 0.186
Er5 0.793 0.759 0.552
Er6 0.207 0.241 0.448
Er7 0.207 0.759 0.966
Er8 0.793 0.241 0.034
Er9 0.700 0.380 0.681
Er10 0.300 0.620 0.319
Er11 0.300 0.981 0.681
Er12 0.700 0.019 0.319
Ga1 0.500 0.381 0.881
Ga2 0.500 0.619 0.119
Ga3 0.644 0.000 0.644
Ga4 0.356 0.000 0.356
Bi1 0.000 0.500 0.500
Bi2 0.000 0.000 0.000
# DFT formation energy, eV per formula unit: -4.02

---

(4)
# Er4GaBiSe2 (PBE, optimized geometry)
data_Er4GaBiSe2
_chemical_formula_sum 'Er4 Ga1 Bi1 Se2'
_cell_length_a 4.100
_cell_length_b 7.293
_cell_length_c 7.319
_cell_angle_alpha 71.22
_cell_angle_beta 90.00
_cell_angle_gamma 90.00
_space_group_name_H-M_alt 'P 1'
_space_group_IT_number 1
loop_
_space_group_symop_operation_xyz
'x,y,z'
loop_
_atom_site_label
_atom_site_fract_x
_atom_site_fract_y
_atom_site_fract_z
Er1 0.000 0.755 0.731
Er2 0.000 0.245 0.269
Er3 0.500 0.750 0.259
Er4 0.500 0.250 0.741
Ga1 0.000 0.500 0.500
Bi1 0.500 0.500 0.000
Se1 0.000 0.000 0.000
Se2 0.500 0.000 0.500
# ΔE_f (raw), meV per atom: -1168

---

(5)
# Er4GaBiTe2 (PBE, optimized geometry)
data_Er4GaBiTe2
_chemical_formula_sum 'Er4 Ga1 Bi1 Te2'
_cell_length_a 4.244
_cell_length_b 7.571
_cell_length_c 7.546
_cell_angle_alpha 108.78
_cell_angle_beta 90.00
_cell_angle_gamma 90.00
_space_group_name_H-M_alt 'P 1'
_space_group_IT_number 1
loop_
_space_group_symop_operation_xyz
'x,y,z'
loop_
_atom_site_label
_atom_site_fract_x
_atom_site_fract_y
_atom_site_fract_z
Er1 0.500 0.263 0.233
Er2 0.500 0.737 0.767
Er3 0.000 0.269 0.770
Er4 0.000 0.731 0.230
Ga1 0.500 0.500 0.000
Bi1 0.000 0.000 0.000
Te1 0.500 0.000 0.500
Te2 0.000 0.500 0.500
# ΔE_f (raw), meV per atom: -979

---

(6)
# GdErBi2 (PBE, optimized geometry)
data_GdErBi2
_chemical_formula_sum 'Gd1 Er1 Bi2'
_cell_length_a 4.485
_cell_length_b 4.485
_cell_length_c 7.764
_cell_angle_alpha 73.21
_cell_angle_beta 73.21
_cell_angle_gamma 60.00
_space_group_name_H-M_alt 'P 1'
_space_group_IT_number 1
loop_
_space_group_symop_operation_xyz
'x,y,z'
loop_
_atom_site_label
_atom_site_fract_x
_atom_site_fract_y
_atom_site_fract_z
Gd1 0.000 0.000 0.000
Bi1 0.249 0.249 0.254
Bi2 0.751 0.751 0.746
Er1 0.500 0.500 0.500
# DFT formation energy, eV per formula unit: -3.44

---

(7)
# GdEr2Bi (PBE, optimized geometry)
data_GdEr2Bi
_chemical_formula_sum 'Gd1 Er2 Bi1'
_cell_length_a 4.082
_cell_length_b 4.082
_cell_length_c 7.152
_cell_angle_alpha 90.00
_cell_angle_beta 90.00
_cell_angle_gamma 90.00
_space_group_name_H-M_alt 'P 1'
_space_group_IT_number 1
loop_
_space_group_symop_operation_xyz
'x,y,z'
loop_
_atom_site_label
_atom_site_fract_x
_atom_site_fract_y
_atom_site_fract_z
Gd1 0.500 0.500 0.500
Bi1 0.500 0.500 0.000
Er1 0.000 0.000 0.767
Er2 0.000 0.000 0.233
# DFT formation energy, eV per formula unit: -1.32
# Relative energy among the computed polymorphs, eV/atom: 0.013

---

(8)
# GdEr2Bi (PBE, optimized geometry)
data_GdEr2Bi
_chemical_formula_sum 'Gd1 Er2 Bi1'
_cell_length_a 5.464
_cell_length_b 5.464
_cell_length_c 5.466
_cell_angle_alpha 60.01
_cell_angle_beta 60.01
_cell_angle_gamma 60.00
_space_group_name_H-M_alt 'P 1'
_space_group_IT_number 1
loop_
_space_group_symop_operation_xyz
'x,y,z'
loop_
_atom_site_label
_atom_site_fract_x
_atom_site_fract_y
_atom_site_fract_z
Gd1 0.000 0.000 0.000
Bi1 0.500 0.500 0.500
Er1 0.750 0.750 0.750
Er2 0.250 0.250 0.250
# DFT formation energy, eV per formula unit: -0.61
# Relative energy among the computed polymorphs, eV/atom: 0.191

---

(9)
# GdEr2Bi (PBE, optimized geometry)
data_GdEr2Bi
_chemical_formula_sum 'Gd1 Er2 Bi1'
_cell_length_a 4.793
_cell_length_b 4.906
_cell_length_c 4.906
_cell_angle_alpha 90.00
_cell_angle_beta 90.00
_cell_angle_gamma 90.00
_space_group_name_H-M_alt 'P 1'
_space_group_IT_number 1
loop_
_space_group_symop_operation_xyz
'x,y,z'
loop_
_atom_site_label
_atom_site_fract_x
_atom_site_fract_y
_atom_site_fract_z
Gd1 0.500 0.500 0.500
Bi1 0.500 0.000 0.000
Er1 0.000 0.000 0.500
Er2 0.000 0.500 0.000
# DFT formation energy, eV per formula unit: -1.38
# Relative energy among the computed polymorphs, eV/atom: 0.000

---

(10)
# GdErHgBi (PBE, optimized geometry)
data_GdErHgBi
_chemical_formula_sum 'Gd1 Er1 Hg1 Bi1'
_cell_length_a 5.387
_cell_length_b 5.387
_cell_length_c 5.387
_cell_angle_alpha 60.00
_cell_angle_beta 60.00
_cell_angle_gamma 60.00
_space_group_name_H-M_alt 'P 1'
_space_group_IT_number 1
loop_
_space_group_symop_operation_xyz
'x,y,z'
loop_
_atom_site_label
_atom_site_fract_x
_atom_site_fract_y
_atom_site_fract_z
Gd1 0.250 0.250 0.250
Er1 0.750 0.750 0.750
Bi1 0.000 0.000 0.000
Hg1 0.500 0.500 0.500
# DFT formation energy, eV per formula unit: -2.04

---

(11)
# Er3GeBi2 (PBE, optimized geometry)
data_Er3GeBi2
_chemical_formula_sum 'Er6 Ge2 Bi4'
_cell_length_a 7.486
_cell_length_b 7.471
_cell_length_c 7.471
_cell_angle_alpha 121.89
_cell_angle_beta 90.00
_cell_angle_gamma 90.00
_space_group_name_H-M_alt 'P 1'
_space_group_IT_number 1
loop_
_space_group_symop_operation_xyz
'x,y,z'
loop_
_atom_site_label
_atom_site_fract_x
_atom_site_fract_y
_atom_site_fract_z
Er1 0.470 0.146 0.854
Er2 0.970 0.146 0.854
Er3 0.470 0.500 0.500
Er4 0.970 0.500 0.500
Er5 0.970 0.854 0.146
Er6 0.470 0.854 0.146
Ge1 0.720 0.820 0.820
Ge2 0.220 0.180 0.180
Bi1 0.720 0.172 0.522
Bi2 0.220 0.478 0.828
Bi3 0.220 0.828 0.478
Bi4 0.720 0.522 0.172
# DFT formation energy, eV per formula unit: -4.10

---

(12)
# Er2GeBi (PBE, optimized geometry)
data_Er2GeBi
_chemical_formula_sum 'Er2 Ge1 Bi1'
_cell_length_a 4.106
_cell_length_b 4.106
_cell_length_c 8.117
_cell_angle_alpha 75.35
_cell_angle_beta 75.35
_cell_angle_gamma 60.00
_space_group_name_H-M_alt 'P 1'
_space_group_IT_number 1
loop_
_space_group_symop_operation_xyz
'x,y,z'
loop_
_atom_site_label
_atom_site_fract_x
_atom_site_fract_y
_atom_site_fract_z
Er1 0.090 0.090 0.730
Er2 0.243 0.243 0.271
Ge1 0.498 0.498 0.505
Bi1 0.669 0.669 0.994
# DFT formation energy, eV per formula unit: -2.30
# Relative energy among the computed polymorphs, eV/atom: 0.177

---

(13)
# Er2GeBi (PBE, optimized geometry)
data_Er2GeBi
_chemical_formula_sum 'Er8 Ge4 Bi4'
_cell_length_a 7.227
_cell_length_b 7.707
_cell_length_c 9.436
_cell_angle_alpha 106.78
_cell_angle_beta 104.80
_cell_angle_gamma 108.20
_space_group_name_H-M_alt 'P 1'
_space_group_IT_number 1
loop_
_space_group_symop_operation_xyz
'x,y,z'
loop_
_atom_site_label
_atom_site_fract_x
_atom_site_fract_y
_atom_site_fract_z
Er1 0.582 0.853 0.126
Er2 0.044 0.273 0.126
Er3 0.418 0.147 0.874
Er4 0.956 0.727 0.874
Er5 0.303 0.573 0.624
Er6 0.179 0.949 0.376
Er7 0.697 0.427 0.376
Er8 0.821 0.051 0.624
Ge1 0.318 0.068 0.136
Ge2 0.682 0.932 0.864
Ge3 0.056 0.806 0.612
Ge4 0.944 0.194 0.388
Bi1 0.430 0.680 0.359
Bi2 0.195 0.445 0.889
Bi3 0.570 0.320 0.641
Bi4 0.805 0.555 0.111
# DFT formation energy, eV per formula unit: -2.86
# Relative energy among the computed polymorphs, eV/atom: 0.037

---

(14)
# Er8GeBi2 (PBE, optimized geometry)
data_Er8GeBi2
_chemical_formula_sum 'Er8 Ge1 Bi2'
_cell_length_a 4.235
_cell_length_b 8.365
_cell_length_c 9.418
_cell_angle_alpha 92.90
_cell_angle_beta 103.00
_cell_angle_gamma 90.00
_space_group_name_H-M_alt 'P 1'
_space_group_IT_number 1
loop_
_space_group_symop_operation_xyz
'x,y,z'
loop_
_atom_site_label
_atom_site_fract_x
_atom_site_fract_y
_atom_site_fract_z
Er1 0.408 0.459 0.816
Er2 0.654 0.039 0.307
Er3 0.793 0.634 0.586
Er4 0.015 0.230 0.029
Er5 0.207 0.366 0.414
Er6 0.346 0.961 0.693
Er7 0.592 0.541 0.184
Er8 0.985 0.770 0.971
Ge1 0.500 0.000 0.000
Bi1 0.821 0.230 0.642
Bi2 0.179 0.770 0.358
# DFT formation energy, eV per formula unit: -4.23

---

(15)
# Er5Ge2Bi2 (PBE, optimized geometry)
data_Er5Ge2Bi2
_chemical_formula_sum 'Er10 Ge4 Bi4'
_cell_length_a 7.951
_cell_length_b 7.934
_cell_length_c 8.598
_cell_angle_alpha 117.48
_cell_angle_beta 90.00
_cell_angle_gamma 90.00
_space_group_name_H-M_alt 'P 1'
_space_group_IT_number 1
loop_
_space_group_symop_operation_xyz
'x,y,z'
loop_
_atom_site_label
_atom_site_fract_x
_atom_site_fract_y
_atom_site_fract_z
Er1 0.000 0.000 0.000
Er2 0.500 0.500 0.000
Er3 0.839 0.783 0.245
Er4 0.161 0.462 0.245
Er5 0.339 0.962 0.245
Er6 0.661 0.283 0.245
Er7 0.161 0.217 0.755
Er8 0.839 0.538 0.755
Er9 0.661 0.038 0.755
Er10 0.339 0.717 0.755
Ge1 0.642 0.857 0.000
Ge2 0.358 0.143 0.000
Ge3 0.142 0.643 0.000
Ge4 0.858 0.357 0.000
Bi1 0.000 0.206 0.412
Bi2 0.500 0.706 0.412
Bi3 0.000 0.794 0.588
Bi4 0.500 0.294 0.588
# DFT formation energy, eV per formula unit: -7.50

---

(16)
# Er4GeBi2 (PBE, optimized geometry)
data_Er4GeBi2
_chemical_formula_sum 'Er8 Ge2 Bi4'
_cell_length_a 6.646
_cell_length_b 6.565
_cell_length_c 9.669
_cell_angle_alpha 90.00
_cell_angle_beta 108.03
_cell_angle_gamma 90.00
_space_group_name_H-M_alt 'P 1'
_space_group_IT_number 1
loop_
_space_group_symop_operation_xyz
'x,y,z'
loop_
_atom_site_label
_atom_site_fract_x
_atom_site_fract_y
_atom_site_fract_z
Er1 0.488 0.496 0.244
Er2 0.062 0.750 0.855
Er3 0.938 0.250 0.145
Er4 0.488 0.004 0.244
Er5 0.876 0.250 0.552
Er6 0.512 0.996 0.756
Er7 0.512 0.504 0.756
Er8 0.124 0.750 0.448
Ge1 0.136 0.750 0.160
Ge2 0.864 0.250 0.840
Bi1 0.689 0.750 0.047
Bi2 0.311 0.250 0.953
Bi3 0.296 0.250 0.462
Bi4 0.704 0.750 0.538
# DFT formation energy, eV per formula unit: -3.68

---

(17)
# Er2GeBi (PBE, optimized geometry)
data_Er2GeBi
_chemical_formula_sum 'Er4 Ge2 Bi2'
_cell_length_a 4.177
_cell_length_b 4.372
_cell_length_c 11.827
_cell_angle_alpha 100.65
_cell_angle_beta 90.00
_cell_angle_gamma 90.00
_space_group_name_H-M_alt 'P 1'
_space_group_IT_number 1
loop_
_space_group_symop_operation_xyz
'x,y,z'
loop_
_atom_site_label
_atom_site_fract_x
_atom_site_fract_y
_atom_site_fract_z
Er1 0.750 0.671 0.341
Er2 0.250 0.329 0.659
Er3 0.750 0.940 0.881
Er4 0.250 0.060 0.119
Ge1 0.250 0.458 0.915
Ge2 0.750 0.542 0.085
Bi1 0.250 0.192 0.384
Bi2 0.750 0.808 0.616
# DFT formation energy, eV per formula unit: -3.01
# Relative energy among the computed polymorphs, eV/atom: 0.000

---

(18)
# Er2GeBi (PBE, optimized geometry)
data_Er2GeBi
_chemical_formula_sum 'Er2 Ge1 Bi1'
_cell_length_a 4.144
_cell_length_b 4.144
_cell_length_c 7.814
_cell_angle_alpha 74.62
_cell_angle_beta 74.62
_cell_angle_gamma 60.00
_space_group_name_H-M_alt 'P 1'
_space_group_IT_number 1
loop_
_space_group_symop_operation_xyz
'x,y,z'
loop_
_atom_site_label
_atom_site_fract_x
_atom_site_fract_y
_atom_site_fract_z
Ge1 0.000 0.000 0.000
Bi1 0.500 0.500 0.500
Er1 0.739 0.739 0.783
Er2 0.261 0.261 0.217
# DFT formation energy, eV per formula unit: -2.94
# Relative energy among the computed polymorphs, eV/atom: 0.016

---

(19)
# Er4GeBi (PBE, optimized geometry)
data_Er4GeBi
_chemical_formula_sum 'Er8 Ge2 Bi2'
_cell_length_a 5.899
_cell_length_b 7.720
_cell_length_c 8.670
_cell_angle_alpha 90.00
_cell_angle_beta 90.00
_cell_angle_gamma 107.88
_space_group_name_H-M_alt 'P 1'
_space_group_IT_number 1
loop_
_space_group_symop_operation_xyz
'x,y,z'
loop_
_atom_site_label
_atom_site_fract_x
_atom_site_fract_y
_atom_site_fract_z
Er1 0.586 0.516 0.750
Er2 0.414 0.484 0.250
Er3 0.432 0.002 0.750
Er4 0.568 0.998 0.250
Er5 0.965 0.767 0.049
Er6 0.035 0.233 0.549
Er7 0.965 0.767 0.451
Er8 0.035 0.233 0.951
Ge1 0.888 0.929 0.750
Ge2 0.112 0.071 0.250
Bi1 0.119 0.587 0.750
Bi2 0.881 0.413 0.250
# DFT formation energy, eV per formula unit: -1.64

---

(20)
# Er6GeBi2 (PBE, optimized geometry)
data_Er6GeBi2
_chemical_formula_sum 'Er12 Ge2 Bi4'
_cell_length_a 6.325
_cell_length_b 8.087
_cell_length_c 10.193
_cell_angle_alpha 90.00
_cell_angle_beta 91.01
_cell_angle_gamma 90.00
_space_group_name_H-M_alt 'P 1'
_space_group_IT_number 1
loop_
_space_group_symop_operation_xyz
'x,y,z'
loop_
_atom_site_label
_atom_site_fract_x
_atom_site_fract_y
_atom_site_fract_z
Er1 0.869 0.968 0.236
Er2 0.868 0.671 0.543
Er3 0.869 0.694 0.956
Er4 0.631 0.194 0.544
Er5 0.632 0.171 0.957
Er6 0.631 0.468 0.264
Er7 0.131 0.032 0.764
Er8 0.132 0.329 0.457
Er9 0.131 0.306 0.044
Er10 0.369 0.806 0.456
Er11 0.368 0.829 0.043
Er12 0.369 0.532 0.736
Ge1 0.500 0.500 0.000
Ge2 0.000 0.000 0.500
Bi1 0.902 0.387 0.755
Bi2 0.598 0.887 0.745
Bi3 0.402 0.113 0.255
Bi4 0.098 0.613 0.245
# DFT formation energy, eV per formula unit: -4.61

---

Values of spin magnetization, in order: 1.82 0.00 0.00 0.00 0.00 7.02 8.46 7.70 8.04 7.76 0.00 0.00 0.00 0.82 0.00 0.00 0.00 0.00 0.05 0.01, all in μB per formula unit.
Values of total DFT energy (no corrections), in order: -4.41 -4.12 -4.59 -5.18 -4.91 -7.46 -7.10 -6.92 -7.12 -6.22 -5.03 -4.98 -5.12 -4.83 -5.26 -4.90 -5.16 -5.14 -4.73 -4.93, all in eV per atom.